Entry 1:
# NaPbSI2, relaxed, DFT GGA-PBE
# energy relative to the elements, uncorrected	-0.063	eV/atom
# total moment	1.000	μB per cell
# ΔE to the lowest computed polymorph	327	meV per atom
# density	5.015	g cm⁻³
# N(E_F)	3.4	states/eV/cell
data_NaPbSI2
_chemical_formula_sum 'Na1 Pb1 S1 I2'
_cell_length_a 5.7772
_cell_length_b 5.7772
_cell_length_c 5.1193
_cell_angle_alpha 90.00
_cell_angle_beta 90.00
_cell_angle_gamma 90.00
_symmetry_space_group_name_H-M 'P 4/m m m'
_symmetry_Int_Tables_number 123
_symmetry_space_group_name_Hall '-P 4 2'
loop_
_atom_site_label
_atom_site_type_symbol
_atom_site_fract_x
_atom_site_fract_y
_atom_site_fract_z
_atom_site_occupancy
Na1 Na 0.0000 0.0000 0.0000 1
Pb1 Pb 0.5000 0.5000 0.5000 1
S1 S 0.0000 0.0000 0.5000 1
I1 I 0.0000 0.5000 0.0000 1

=====

Entry 2:
# NaPb2SI, relaxed, DFT GGA-PBE
# energy relative to the elements, uncorrected	0.449	eV/atom
# total moment	0.000	μB per cell
# density	4.823	g cm⁻³
# N(E_F)	4.5	states/eV/cell
data_NaPb2SI
_chemical_formula_sum 'Na1 Pb2 S1 I1'
_cell_length_a 6.1133
_cell_length_b 6.1133
_cell_length_c 5.4937
_cell_angle_alpha 90.00
_cell_angle_beta 90.00
_cell_angle_gamma 90.00
_symmetry_space_group_name_H-M 'P 4/m m m'
_symmetry_Int_Tables_number 123
_symmetry_space_group_name_Hall '-P 4 2'
loop_
_atom_site_label
_atom_site_type_symbol
_atom_site_fract_x
_atom_site_fract_y
_atom_site_fract_z
_atom_site_occupancy
Na1 Na 0.0000 0.0000 0.0000 1
Pb1 Pb 0.0000 0.5000 0.5000 1
S1 S 0.5000 0.5000 0.0000 1
I1 I 0.0000 0.0000 0.5000 1

=====

Entry 3:
# NaSb2PbI, relaxed, DFT GGA-PBE
# energy relative to the elements, uncorrected	0.285	eV/atom
# total moment	1.421	μB per cell
# ΔE to the lowest computed polymorph	0	meV per atom
# density	4.360	g cm⁻³
# N(E_F)	4.3	states/eV/cell
data_NaSb2PbI
_chemical_formula_sum 'Na1 Sb2 Pb1 I1'
_cell_length_a 5.9161
_cell_length_b 5.9161
_cell_length_c 6.5350
_cell_angle_alpha 90.00
_cell_angle_beta 90.00
_cell_angle_gamma 90.00
_symmetry_space_group_name_H-M 'P 4/m m m'
_symmetry_Int_Tables_number 123
_symmetry_space_group_name_Hall '-P 4 2'
loop_
_atom_site_label
_atom_site_type_symbol
_atom_site_fract_x
_atom_site_fract_y
_atom_site_fract_z
_atom_site_occupancy
Na1 Na 0.0000 0.0000 0.0000 1
Sb1 Sb 0.0000 0.5000 0.5000 1
Pb1 Pb 0.5000 0.5000 0.5000 1
I1 I 0.5000 0.5000 0.0000 1

=====

Entry 4:
# NaScPbI6, relaxed, DFT GGA-PBE
# energy relative to the elements, uncorrected	-1.023	eV/atom
# total moment	0.000	μB per cell
# density	4.563	g cm⁻³
# N(E_F)	0.0	states/eV/cell
data_NaScPbI6
_chemical_formula_sum 'Na2 Sc2 Pb2 I12'
_cell_length_a 7.8438
_cell_length_b 7.8438
_cell_length_c 14.1594
_cell_angle_alpha 90.00
_cell_angle_beta 90.00
_cell_angle_gamma 120.00
_symmetry_space_group_name_H-M 'P -3 1 c'
_symmetry_Int_Tables_number 163
_symmetry_space_group_name_Hall '-P 3 2c'
loop_
_atom_site_label
_atom_site_type_symbol
_atom_site_fract_x
_atom_site_fract_y
_atom_site_fract_z
_atom_site_occupancy
Na1 Na 0.0000 0.0000 0.0000 1
Sc1 Sc 0.3333 0.6667 0.2500 1
Pb1 Pb 0.3333 0.6667 0.7500 1
I1 I 0.0323 0.3674 0.1290 1